Material: TbGdThCd
Method: DFT, PBE
State: relaxed

Output
**N(E_F)**: 5.3 states/eV/f.u.
**Formation energy**: 33 kJ/mol of formula units
**Total magnetic moment**: 8.5 μB per formula unit
**SG**: F-43m, No. 216
**Final energy**: -106.84 eV per cell

Geometry as CIF:
```
data_TbGdThCd
_chemical_formula_sum 'Tb4 Gd4 Th4 Cd4'
_cell_length_a 7.786
_cell_length_b 7.786
_cell_length_c 7.786
_cell_angle_alpha 90.00
_cell_angle_beta 90.00
_cell_angle_gamma 90.00
_symmetry_space_group_name_H-M 'P 1'
_symmetry_Int_Tables_number 1
loop_
_symmetry_equiv_pos_as_xyz
'x,y,z'
loop_
_atom_site_label
_atom_site_fract_x
_atom_site_fract_y
_atom_site_fract_z
Tb1 0.000 0.000 0.000
Tb2 0.000 0.500 0.500
Tb3 0.500 0.000 0.500
Tb4 0.500 0.500 0.000
Gd1 0.000 0.000 0.500
Gd2 0.000 0.500 0.000
Gd3 0.500 0.000 0.000
Gd4 0.500 0.500 0.500
Th1 0.250 0.250 0.250
Th2 0.250 0.750 0.750
Th3 0.750 0.250 0.750
Th4 0.750 0.750 0.250
Cd1 0.250 0.250 0.750
Cd2 0.250 0.750 0.250
Cd3 0.750 0.250 0.250
Cd4 0.750 0.750 0.750
```